# BaLi2Cu2

BaLi2Cu2 after structural relaxation (PBE-GGA, the Alexandria database).

extended XYZ file:
```
10
Lattice="7.810 0.000 0.000 0.000 7.810 0.000 0.000 0.000 3.689" Properties=species:S:1:pos:R:3 pbc="T T T"
Ba 0.000 0.000 0.000
Ba 3.905 3.905 0.000
Li 1.037 2.868 1.845
Li 2.868 6.773 1.845
Li 4.942 1.037 1.845
Li 6.773 4.942 1.845
Cu 0.883 4.787 0.000
Cu 3.022 0.883 0.000
Cu 4.787 6.927 0.000
Cu 6.927 3.022 0.000
```

## Properties
formation energy from the elements: 79.4 kJ/mol of formula units
raw total energy: -2.624 eV/atom
mass density: 4.1 Mg/m³
energy above the most stable polymorph in this dataset: 14.7 kJ/mol of atoms
SG: P4/mbm, No. 127